Model a:
Here is a crystal of BaTc2Hg relaxed with PBEsol from Alexandria via LeMat-Bulk. Energies are from meta-GGA SCAN.

```
data_BaTc2Hg
_chemical_formula_sum 'Ba2 Tc4 Hg2'
_space_group_name_H-M_alt 'I 4/m m m'
_space_group_IT_number 139
_space_group_name_Hall '-I 4 2'
_cell_length_a 4.413
_cell_length_b 4.413
_cell_length_c 8.292
_cell_angle_alpha 90.00
_cell_angle_beta 90.00
_cell_angle_gamma 90.00
loop_
_atom_site_label
_atom_site_fract_x
_atom_site_fract_y
_atom_site_fract_z
Ba1 0.000 0.000 0.000
Tc1 0.000 0.500 0.250
Hg1 0.000 0.000 0.500
```

***

Model b:
Here is a crystal of BaTc2Hg relaxed with PBEsol from Alexandria via LeMat-Bulk. Energies are from meta-GGA SCAN.

```
data_BaTc2Hg
_chemical_formula_sum 'Ba2 Tc4 Hg2'
_space_group_name_H-M_alt 'C 1 2/m 1'
_space_group_IT_number 12
_cell_length_a 9.624
_cell_length_b 3.806
_cell_length_c 5.964
_cell_angle_alpha 90.00
_cell_angle_beta 108.46
_cell_angle_gamma 90.00
loop_
_space_group_symop_operation_xyz
'x,y,z'
'-x,-y,-z'
'-x,y,-z'
'x,-y,z'
'x+1/2,y+1/2,z'
'-x+1/2,-y+1/2,-z'
'-x+1/2,y+1/2,-z'
'x+1/2,-y+1/2,z'
loop_
_atom_site_label
_atom_site_fract_x
_atom_site_fract_y
_atom_site_fract_z
Ba1 0.000 0.000 0.000
Tc1 0.233 0.000 0.596
Hg1 0.000 0.500 0.500
```

***

Model c:
Here is a crystal of BaTc2Hg relaxed with PBEsol from Alexandria via LeMat-Bulk. Energies are from meta-GGA SCAN.

```
data_BaTc2Hg
_chemical_formula_sum 'Ba1 Tc2 Hg1'
_space_group_name_H-M_alt 'P 4/m m m'
_space_group_IT_number 123
_space_group_name_Hall '-P 4 2'
_cell_length_a 2.890
_cell_length_b 2.890
_cell_length_c 9.609
_cell_angle_alpha 90.00
_cell_angle_beta 90.00
_cell_angle_gamma 90.00
loop_
_atom_site_label
_atom_site_fract_x
_atom_site_fract_y
_atom_site_fract_z
Ba1 0.000 0.000 0.000
Tc1 0.500 0.500 0.288
Hg1 0.000 0.000 0.500
```

***

Model d:
Here is a crystal of BaTc2Hg relaxed with PBEsol from Alexandria via LeMat-Bulk. Energies are from meta-GGA SCAN.

```
data_BaTc2Hg
_chemical_formula_sum 'Ba2 Tc4 Hg2'
_space_group_name_H-M_alt 'C 1 2/m 1'
_space_group_IT_number 12
_cell_length_a 6.040
_cell_length_b 9.742
_cell_length_c 3.030
_cell_angle_alpha 90.00
_cell_angle_beta 117.53
_cell_angle_gamma 90.00
loop_
_space_group_symop_operation_xyz
'x,y,z'
'-x,-y,-z'
'-x,y,-z'
'x,-y,z'
'x+1/2,y+1/2,z'
'-x+1/2,-y+1/2,-z'
'-x+1/2,y+1/2,-z'
'x+1/2,-y+1/2,z'
loop_
_atom_site_label
_atom_site_fract_x
_atom_site_fract_y
_atom_site_fract_z
Ba1 0.000 0.000 0.000
Tc1 0.250 0.250 0.500
Hg1 0.000 0.500 0.000
```

***

Energy ordering: model b at the bottom, the next structure 71.9 kJ/mol of atoms above.

***

Model a:
Here is a crystal of BaHg2W relaxed with PBEsol from Alexandria via LeMat-Bulk. Energies are from meta-GGA SCAN.

```
data_BaHg2W
_chemical_formula_sum 'Ba4 Hg8 W4'
_space_group_name_H-M_alt 'F -4 3 m'
_space_group_IT_number 216
_space_group_name_Hall 'F -4 2 3'
_cell_length_a 7.415
_cell_length_b 7.415
_cell_length_c 7.415
_cell_angle_alpha 90.00
_cell_angle_beta 90.00
_cell_angle_gamma 90.00
loop_
_atom_site_label
_atom_site_fract_x
_atom_site_fract_y
_atom_site_fract_z
Ba1 0.000 0.000 0.000
Hg1 0.000 0.000 0.500
Hg2 0.250 0.250 0.750
W1 0.250 0.250 0.250
```

***

Model b:
Here is a crystal of BaHg2W relaxed with PBEsol from Alexandria via LeMat-Bulk. Energies are from meta-GGA SCAN.

```
data_BaHg2W
_chemical_formula_sum 'Ba2 Hg4 W2'
_space_group_name_H-M_alt 'I -4 m 2'
_space_group_IT_number 119
_space_group_name_Hall 'I -4 -2'
_cell_length_a 4.491
_cell_length_b 4.491
_cell_length_c 9.803
_cell_angle_alpha 90.00
_cell_angle_beta 90.00
_cell_angle_gamma 90.00
loop_
_atom_site_label
_atom_site_fract_x
_atom_site_fract_y
_atom_site_fract_z
Ba1 0.000 0.000 0.000
Hg1 0.000 0.000 0.500
Hg2 0.000 0.500 0.250
W1 0.000 0.500 0.750
```

***

Energy ordering: model b at the bottom, the next structure 2.7 kJ/mol of atoms above.

***

Model a:
Here is a crystal of BaZnHg relaxed with PBEsol from Alexandria via LeMat-Bulk. Energies are from meta-GGA SCAN.

```
data_BaZnHg
_chemical_formula_sum 'Ba1 Zn1 Hg1'
_space_group_name_H-M_alt 'P -6 m 2'
_space_group_IT_number 187
_space_group_name_Hall 'P -6 2'
_cell_length_a 4.7880
_cell_length_b 4.7880
_cell_length_c 4.3709
_cell_angle_alpha 90.00
_cell_angle_beta 90.00
_cell_angle_gamma 120.00
loop_
_atom_site_label
_atom_site_fract_x
_atom_site_fract_y
_atom_site_fract_z
Ba1 0.0000 0.0000 0.0000
Zn1 0.6667 0.3333 0.5000
Hg1 0.3333 0.6667 0.5000
```

***

Model b:
Here is a crystal of BaZnHg relaxed with PBEsol from Alexandria via LeMat-Bulk. Energies are from meta-GGA SCAN.

```
data_BaZnHg
_chemical_formula_sum 'Ba4 Zn4 Hg4'
_space_group_name_H-M_alt 'F -4 3 m'
_space_group_IT_number 216
_space_group_name_Hall 'F -4 2 3'
_cell_length_a 7.184
_cell_length_b 7.184
_cell_length_c 7.184
_cell_angle_alpha 90.00
_cell_angle_beta 90.00
_cell_angle_gamma 90.00
loop_
_atom_site_label
_atom_site_fract_x
_atom_site_fract_y
_atom_site_fract_z
Ba1 0.000 0.000 0.000
Zn1 0.250 0.250 0.750
Hg1 0.000 0.000 0.500
```

***

Energy ordering: model a at the bottom, the next structure 24.7 kJ/mol of atoms above.